(1)
# LiMg3O, relaxed, DFT GGA-PBE
# Spin magnetization = 0.00 μB/f.u.
# Energy relative to the lowest polymorph listed for this composition = 0.0000 eV per atom
# Density of states at the Fermi level = 0.22 states/eV per atom
# Formation energy (no corrections) = -0.83 eV/atom
data_LiMg3O
_space_group_name_H-M_alt 'P m -3 m'
_space_group_IT_number 221
_space_group_name_Hall '-P 4 2 3'
_cell_length_a 4.347
_cell_length_b 4.347
_cell_length_c 4.347
_cell_angle_alpha 90.00
_cell_angle_beta 90.00
_cell_angle_gamma 90.00
loop_
_atom_site_label
_atom_site_type_symbol
_atom_site_fract_x
_atom_site_fract_y
_atom_site_fract_z
_atom_site_occupancy
Li1 Li 0.000 0.000 0.000 1
Mg1 Mg 0.000 0.500 0.500 1
O1 O 0.500 0.500 0.500 1

---

(2)
# Sc8Cu2Pb, relaxed, DFT GGA-PBE
# ΔE_f = -1.2 eV/f.u.
# Spin magnetization = 2.27 μB/f.u.
# Density of states at the Fermi level = 1.55 states/eV per atom
data_Sc8Cu2Pb
_space_group_name_H-M_alt 'C 1 2/m 1'
_space_group_IT_number 12
_space_group_name_Hall '-C 2y'
_cell_length_a 8.267
_cell_length_b 12.722
_cell_length_c 4.931
_cell_angle_alpha 90.00
_cell_angle_beta 105.84
_cell_angle_gamma 90.00
loop_
_atom_site_label
_atom_site_type_symbol
_atom_site_fract_x
_atom_site_fract_y
_atom_site_fract_z
_atom_site_occupancy
Sc1 Sc 0.000 0.244 0.000 1
Sc2 Sc 0.101 0.500 0.801 1
Sc3 Sc 0.206 0.125 0.591 1
Cu1 Cu 0.000 0.309 0.500 1
Pb1 Pb 0.000 0.000 0.000 1

---

(3)
# Ta2AlCu, relaxed, DFT GGA-PBE
# ΔE_f = -0.3 eV/f.u.
# Spin magnetization = 0.00 μB/f.u.
# Density of states at the Fermi level = 0.76 states/eV per atom
data_Ta2AlCu
_space_group_name_H-M_alt 'A m m 2'
_space_group_IT_number 38
_space_group_name_Hall 'A 2 -2'
_cell_length_a 3.993
_cell_length_b 3.019
_cell_length_c 10.735
_cell_angle_alpha 90.00
_cell_angle_beta 90.00
_cell_angle_gamma 90.00
loop_
_atom_site_label
_atom_site_type_symbol
_atom_site_fract_x
_atom_site_fract_y
_atom_site_fract_z
_atom_site_occupancy
Ta1 Ta 0.000 0.000 0.000 1
Ta2 Ta 0.500 0.000 0.352 1
Al1 Al 0.500 0.000 0.616 1
Cu1 Cu 0.000 0.000 0.742 1

---

(4)
# ScMnBiB2, relaxed, DFT GGA-PBE
# ΔE_f = 10.1 eV/f.u.
# Spin magnetization = 4.38 μB/f.u.
# Density of states at the Fermi level = 0.92 states/eV per atom
data_ScMnBiB2
_space_group_name_H-M_alt 'P 4/m m m'
_space_group_IT_number 123
_space_group_name_Hall '-P 4 2'
_cell_length_a 4.666
_cell_length_b 4.666
_cell_length_c 5.581
_cell_angle_alpha 90.00
_cell_angle_beta 90.00
_cell_angle_gamma 90.00
loop_
_atom_site_label
_atom_site_type_symbol
_atom_site_fract_x
_atom_site_fract_y
_atom_site_fract_z
_atom_site_occupancy
Sc1 Sc 0.000 0.000 0.000 1
Mn1 Mn 0.500 0.500 0.000 1
Bi1 Bi 0.000 0.000 0.500 1
B1 B 0.000 0.500 0.500 1

---

(5)
# Sm3ThO, relaxed, DFT GGA-PBE
# Spin magnetization = 0.00 μB/f.u.
# Density of states at the Fermi level = 0.92 states/eV per atom
# Formation energy (no corrections) = -1.03 eV/atom
data_Sm3ThO
_space_group_name_H-M_alt 'P m -3 m'
_space_group_IT_number 221
_space_group_name_Hall '-P 4 2 3'
_cell_length_a 5.054
_cell_length_b 5.054
_cell_length_c 5.054
_cell_angle_alpha 90.00
_cell_angle_beta 90.00
_cell_angle_gamma 90.00
loop_
_atom_site_label
_atom_site_type_symbol
_atom_site_fract_x
_atom_site_fract_y
_atom_site_fract_z
_atom_site_occupancy
Sm1 Sm 0.000 0.000 0.500 1
Th1 Th 0.500 0.500 0.500 1
O1 O 0.000 0.000 0.000 1

---

(6)
# SrErMgZn, relaxed, DFT GGA-PBE
# ΔE_f = -0.2 eV/f.u.
# Spin magnetization = 0.00 μB/f.u.
# Density of states at the Fermi level = 0.99 states/eV per atom
data_SrErMgZn
_space_group_name_H-M_alt 'F -4 3 m'
_space_group_IT_number 216
_space_group_name_Hall 'F -4 2 3'
_cell_length_a 7.651
_cell_length_b 7.651
_cell_length_c 7.651
_cell_angle_alpha 90.00
_cell_angle_beta 90.00
_cell_angle_gamma 90.00
loop_
_atom_site_label
_atom_site_type_symbol
_atom_site_fract_x
_atom_site_fract_y
_atom_site_fract_z
_atom_site_occupancy
Sr1 Sr 0.000 0.000 0.000 1
Er1 Er 0.000 0.000 0.500 1
Mg1 Mg 0.250 0.250 0.250 1
Zn1 Zn 0.250 0.250 0.750 1